Density functional theory data (GGA-PBE) for a relaxed DyHo6Sc3 crystal.

Unit cell a=10.3552 b=18.5171 c=6.1422 alpha=90.00 beta=90.00 gamma=90.00
Closest atoms and distances in Å follow each position.
Space group Cmc2_1 (No. 36)
Symmetry-distinct sites (fractional):
Dy  0.0000  0.2102  0.0000 x4  3 Sc 3.04-3.28, 4 Ho 3.22-3.29
Ho  0.0000  0.0466  0.6776 x4  6 Ho 3.52-3.83, 4 Sc 3.55-3.58, 1 Dy 3.62
Ho  0.0000  0.3032  0.4799 x4  1 Sc 3.15, 6 Ho 3.30-3.52, 1 Dy 3.41
Ho  0.1675  0.4626  0.3432 x8  4 Sc 3.19-3.39, 5 Ho 3.37-3.52
Ho  0.2403  0.2039  0.6685 x8  3 Sc 3.16-3.49, 2 Dy 3.22-3.29, 5 Ho 3.30-3.52
Sc  0.0000  0.3859  0.9281 x4  7 Ho 3.15-3.49, 1 Dy 3.28, 2 Sc 3.42
Sc  0.1890  0.1137  0.2408 x8  1 Dy 3.04, 3 Ho 3.16-3.23

Distance to the lowest polymorph of the same formula   3.8 kJ per mole of atoms
Energy relative to the elements   0.17 eV/atom